1.
The following is a DFT calculation (PBE) of an optimized crystal structure of SrOs2Rh.

Cell lengths 6.546, 6.546, 6.546 Å; angles 90.00, 90.00, 90.00 degrees
Space group Fm-3m (No. 225)
Asymmetric unit:
Sr: 0.000 0.000 0.000 (multiplicity 4)
Os: 0.250 0.250 0.250 (multiplicity 8)
Rh: 0.000 0.000 0.500 (multiplicity 4)

The calculation puts the total energy at -105.8 eV per cell. The spin magnetization comes out at 0.0 μB/f.u. The formation energy from the elements is 1.259 eV/atom. As for the crystal system: cubic.

=====

2.
The following is a DFT calculation (PBE) of an optimized crystal structure of SrOs2Rh.

Cell lengths 2.919, 2.919, 8.377 Å; angles 90.00, 90.00, 90.00 degrees
Space group P4mm (No. 99)
Asymmetric unit:
Sr: 0.000 0.000 0.000 (multiplicity 1)
Os: 0.000 0.000 0.491 (multiplicity 1)
Os: 0.500 0.500 0.302 (multiplicity 1)
Rh: 0.500 0.500 0.705 (multiplicity 1)

The calculation puts the total energy at -29.8 eV per cell. The spin magnetization comes out at 0.0 μB/f.u. The formation energy from the elements is 0.426 eV/atom. As for the crystal system: tetragonal.

=====

3.
The following is a DFT calculation (PBE) of an optimized crystal structure of Sr2OsRh.

Cell lengths 8.214, 8.214, 5.853 Å; angles 90.00, 90.00, 90.00 degrees
Space group I-42d (No. 122)
Asymmetric unit:
Sr: 0.229 0.250 0.125 (multiplicity 8)
Os: 0.000 0.000 0.500 (multiplicity 4)
Rh: 0.000 0.000 0.000 (multiplicity 4)

The calculation puts the total energy at -73.6 eV per cell. The spin magnetization comes out at 1.8 μB/f.u. The formation energy from the elements is 0.887 eV/atom. As for the crystal system: tetragonal.

=====

4.
The following is a DFT calculation (PBE) of an optimized crystal structure of Sr2OsRh.

Cell lengths 3.059, 4.332, 6.884 Å; angles 90.00, 90.00, 90.00 degrees
Space group Pmmm (No. 47)
Asymmetric unit:
Sr: 0.000 0.000 0.246 (multiplicity 2)
Os: 0.500 0.500 0.500 (multiplicity 1)
Rh: 0.500 0.500 0.000 (multiplicity 1)

The calculation puts the total energy at -19.4 eV per cell. The spin magnetization comes out at 0.1 μB/f.u. The formation energy from the elements is 0.635 eV/atom. As for the crystal system: orthorhombic.

=====

5.
The following is a DFT calculation (PBE) of an optimized crystal structure of SrOsRh2.

Cell lengths 4.091, 4.091, 8.431 Å; angles 90.00, 90.00, 90.00 degrees
Space group I-4m2 (No. 119)
Asymmetric unit:
Sr: 0.000 0.000 0.000 (multiplicity 2)
Os: 0.000 0.500 0.750 (multiplicity 2)
Rh: 0.000 0.000 0.500 (multiplicity 2)
Rh: 0.000 0.500 0.250 (multiplicity 2)

The calculation puts the total energy at -49.8 eV per cell. The spin magnetization comes out at 0.0 μB/f.u. The formation energy from the elements is 0.677 eV/atom. As for the crystal system: tetragonal.

=====

6.
The following is a DFT calculation (PBE) of an optimized crystal structure of Sr2OsRh.

Cell lengths 4.660, 4.660, 8.584 Å; angles 90.00, 90.00, 90.00 degrees
Space group I4/mmm (No. 139)
Asymmetric unit:
Sr: 0.000 0.500 0.250 (multiplicity 4)
Os: 0.000 0.000 0.000 (multiplicity 2)
Rh: 0.000 0.000 0.500 (multiplicity 2)

The calculation puts the total energy at -38.5 eV per cell. The spin magnetization comes out at 1.2 μB/f.u. The formation energy from the elements is 0.677 eV/atom. As for the crystal system: tetragonal.

=====

7.
The following is a DFT calculation (PBE) of an optimized crystal structure of SrOs2Rh.

Cell lengths 5.634, 8.987, 2.726 Å; angles 90.00, 90.00, 90.00 degrees
Space group Cmmm (No. 65)
Asymmetric unit:
Sr: 0.000 0.000 0.000 (multiplicity 2)
Os: 0.250 0.250 0.500 (multiplicity 4)
Rh: 0.000 0.500 0.000 (multiplicity 2)

The calculation puts the total energy at -55.8 eV per cell. The spin magnetization comes out at 0.0 μB/f.u. The formation energy from the elements is 0.899 eV/atom. As for the crystal system: orthorhombic.

=====

8.
The following is a DFT calculation (PBE) of an optimized crystal structure of SrOsRh2.

Cell lengths 9.410, 2.891, 5.604 Å; angles 90.00, 101.10, 90.00 degrees
Space group Cm (No. 8)
Asymmetric unit:
Sr: 0.000 0.000 0.000 (multiplicity 2)
Os: 0.232 0.000 0.637 (multiplicity 2)
Rh: 0.001 0.500 0.519 (multiplicity 2)
Rh: 0.266 0.500 0.276 (multiplicity 2)

The calculation puts the total energy at -52.4 eV per cell. The spin magnetization comes out at 0.0 μB/f.u. The formation energy from the elements is 0.349 eV/atom. As for the crystal system: monoclinic.

=====

9.
The following is a DFT calculation (PBE) of an optimized crystal structure of SrOs2Rh.

Cell lengths 2.751, 4.003, 6.848 Å; angles 90.00, 90.00, 90.00 degrees
Space group Pmmm (No. 47)
Asymmetric unit:
Sr: 0.000 0.000 0.000 (multiplicity 1)
Os: 0.500 0.500 0.320 (multiplicity 2)
Rh: 0.000 0.000 0.500 (multiplicity 1)

The calculation puts the total energy at -28.7 eV per cell. The spin magnetization comes out at 0.0 μB/f.u. The formation energy from the elements is 0.690 eV/atom. As for the crystal system: orthorhombic.

=====

10.
The following is a DFT calculation (PBE) of an optimized crystal structure of SrOs3Rh.

Cell lengths 4.782, 4.782, 4.782 Å; angles 90.00, 90.00, 90.00 degrees
Space group Pm-3m (No. 221)
Asymmetric unit:
Sr: 0.000 0.000 0.000 (multiplicity 1)
Os: 0.000 0.500 0.500 (multiplicity 3)
Rh: 0.500 0.500 0.500 (multiplicity 1)

The calculation puts the total energy at -34.0 eV per cell. The spin magnetization comes out at 0.0 μB/f.u. The formation energy from the elements is 1.747 eV/atom. As for the crystal system: cubic.

=====

11.
The following is a DFT calculation (PBE) of an optimized crystal structure of Sr2OsRh.

Cell lengths 6.845, 8.660, 3.089 Å; angles 90.00, 90.00, 90.00 degrees
Space group Cmmm (No. 65)
Asymmetric unit:
Sr: 0.250 0.250 0.000 (multiplicity 4)
Os: 0.000 0.000 0.500 (multiplicity 2)
Rh: 0.000 0.500 0.500 (multiplicity 2)

The calculation puts the total energy at -38.8 eV per cell. The spin magnetization comes out at 0.2 μB/f.u. The formation energy from the elements is 0.642 eV/atom. As for the crystal system: orthorhombic.

=====

12.
The following is a DFT calculation (PBE) of an optimized crystal structure of SrOs2Rh.

Cell lengths 2.804, 2.804, 8.852 Å; angles 90.00, 90.00, 90.00 degrees
Space group P4/mmm (No. 123)
Asymmetric unit:
Sr: 0.000 0.000 0.000 (multiplicity 1)
Os: 0.500 0.500 0.292 (multiplicity 2)
Rh: 0.000 0.000 0.500 (multiplicity 1)

The calculation puts the total energy at -28.8 eV per cell. The spin magnetization comes out at 0.0 μB/f.u. The formation energy from the elements is 0.685 eV/atom. As for the crystal system: tetragonal.